Record 1
DFT (PBE) results for a relaxed LaScMo2 crystal.

Results
* D(E_F): 3.7 states/eV/f.u.
* relative energy among the computed polymorphs: 0.303 eV/atom
* uncorrected energy: -7.81 eV per atom
* E_form: 419.8 meV per atom
* calculated volume: 94 Å³/cell

abc: 5.367 5.367 5.665
angles: 69.47 69.47 38.52
Atoms (fractional coordinates):
1 La 0.750 0.750 0.750
2 Mo 0.001 0.001 0.094
3 Mo 0.499 0.499 0.406
4 Sc 0.250 0.250 0.250

---

Record 2
DFT (PBE) results for a relaxed LaSc2Mo crystal.

Results
* D(E_F): 6.0 states/eV/f.u.
* relative energy among the computed polymorphs: 0.160 eV/atom
* uncorrected energy: -6.79 eV per atom
* E_form: 313.7 meV per atom
* calculated volume: 92 Å³/cell

abc: 5.060 5.060 5.060
angles: 60.00 60.00 60.00
Atoms (fractional coordinates):
1 La 0.500 0.500 0.500
2 Mo 0.250 0.250 0.250
3 Sc 0.000 0.000 0.000
4 Sc 0.750 0.750 0.750

---

Record 3
DFT (PBE) results for a relaxed LaSc3Mo crystal.

Results
* D(E_F): 8.1 states/eV/f.u.
* relative energy among the computed polymorphs: 0.000 eV/atom
* uncorrected energy: -6.70 eV per atom
* E_form: 249.9 meV per atom
* calculated volume: 137 Å³/cell

abc: 5.158 5.158 5.158
angles: 90.00 90.00 90.00
Atoms (fractional coordinates):
1 Sc 0.000 0.500 0.000
2 Sc 0.000 0.000 0.500
3 Sc 0.500 0.000 0.000
4 Mo 0.000 0.000 0.000
5 La 0.500 0.500 0.500

---

Record 4
DFT (PBE) results for a relaxed LaScMo2 crystal.

Results
* D(E_F): 3.8 states/eV/f.u.
* relative energy among the computed polymorphs: 0.152 eV/atom
* uncorrected energy: -7.96 eV per atom
* E_form: 269.0 meV per atom
* calculated volume: 88 Å³/cell

abc: 5.910 5.910 5.070
angles: 64.63 64.63 33.73
Atoms (fractional coordinates):
1 La 0.734 0.734 0.766
2 Mo 0.968 0.968 0.032
3 Mo 0.291 0.291 0.209
4 Sc 0.507 0.507 0.493

---

Record 5
DFT (PBE) results for a relaxed LaSc2Mo crystal.

Results
* D(E_F): 5.5 states/eV/f.u.
* relative energy among the computed polymorphs: 0.146 eV/atom
* uncorrected energy: -6.81 eV per atom
* E_form: 300.1 meV per atom
* calculated volume: 99 Å³/cell

abc: 10.810 10.810 10.810
angles: 17.41 17.41 17.41
Atoms (fractional coordinates):
1 Sc 0.896 0.896 0.896
2 Sc 0.104 0.104 0.104
3 Mo 0.500 0.500 0.500
4 La 0.000 0.000 0.000

---

Record 6
DFT (PBE) results for a relaxed LaSc3Mo crystal.

Results
* D(E_F): 8.4 states/eV/f.u.
* relative energy among the computed polymorphs: 1.286 eV/atom
* uncorrected energy: -5.41 eV per atom
* E_form: 1536.2 meV per atom
* calculated volume: 127 Å³/cell

abc: 5.024 5.024 5.024
angles: 90.00 90.00 90.00
Atoms (fractional coordinates):
1 Sc 0.000 0.500 0.000
2 Sc 0.000 0.000 0.500
3 Sc 0.500 0.000 0.000
4 Mo 0.500 0.500 0.500
5 La 0.000 0.000 0.000

---

Record 7
DFT (PBE) results for a relaxed LaSc2Mo crystal.

Results
* D(E_F): 5.0 states/eV/f.u.
* relative energy among the computed polymorphs: 0.207 eV/atom
* uncorrected energy: -6.74 eV per atom
* E_form: 361.1 meV per atom
* calculated volume: 90 Å³/cell

abc: 5.346 5.346 3.345
angles: 90.02 90.02 109.02
Atoms (fractional coordinates):
1 La 0.500 0.000 0.500
2 Mo 0.000 0.500 0.500
3 Sc 0.000 0.000 0.000
4 Sc 0.500 0.500 0.000

---

Record 8
DFT (PBE) results for a relaxed LaScMo2 crystal.

Results
* D(E_F): 3.6 states/eV/f.u.
* relative energy among the computed polymorphs: 0.241 eV/atom
* uncorrected energy: -7.87 eV per atom
* E_form: 357.8 meV per atom
* calculated volume: 91 Å³/cell

abc: 3.713 3.715 6.630
angles: 90.00 90.00 90.00
Atoms (fractional coordinates):
1 La 0.500 0.500 0.750
2 Mo 0.000 0.000 0.074
3 Mo 0.000 0.000 0.426
4 Sc 0.500 0.500 0.250

---

Record 9
DFT (PBE) results for a relaxed LaScMo2 crystal.

Results
* D(E_F): 5.8 states/eV/f.u.
* relative energy among the computed polymorphs: 0.444 eV/atom
* uncorrected energy: -7.67 eV per atom
* E_form: 561.1 meV per atom
* calculated volume: 80 Å³/cell

abc: 3.417 5.030 4.641
angles: 90.00 90.00 90.00
Atoms (fractional coordinates):
1 La 0.000 0.500 0.500
2 Mo 0.000 0.000 0.000
3 Mo 0.500 0.500 0.000
4 Sc 0.500 0.000 0.500

---

Record 10
DFT (PBE) results for a relaxed LaScMo2 crystal.

Results
* D(E_F): 4.2 states/eV/f.u.
* relative energy among the computed polymorphs: 0.357 eV/atom
* uncorrected energy: -7.76 eV per atom
* E_form: 473.9 meV per atom
* calculated volume: 83 Å³/cell

abc: 3.223 4.331 5.950
angles: 90.00 90.00 90.00
Atoms (fractional coordinates):
1 La 0.500 0.500 0.781
2 Mo 0.000 0.000 0.041
3 Mo 0.500 0.500 0.221
4 Sc 0.000 0.000 0.457

---

Record 11
DFT (PBE) results for a relaxed LaScMo2 crystal.

Results
* D(E_F): 3.7 states/eV/f.u.
* relative energy among the computed polymorphs: 0.377 eV/atom
* uncorrected energy: -7.74 eV per atom
* E_form: 493.6 meV per atom
* calculated volume: 81 Å³/cell

abc: 2.835 2.835 10.113
angles: 90.00 90.00 90.00
Atoms (fractional coordinates):
1 La 0.500 0.500 0.750
2 Mo 0.000 0.000 0.022
3 Mo 0.000 0.000 0.478
4 Sc 0.500 0.500 0.250

---

Record 12
DFT (PBE) results for a relaxed LaSc2Mo crystal.

Results
* D(E_F): 5.2 states/eV/f.u.
* relative energy among the computed polymorphs: 0.104 eV/atom
* uncorrected energy: -6.85 eV per atom
* E_form: 258.1 meV per atom
* calculated volume: 92 Å³/cell

abc: 4.809 3.246 6.144
angles: 74.57 90.00 90.00
Atoms (fractional coordinates):
1 La 0.500 0.250 0.250
2 Mo 0.500 0.750 0.750
3 Sc 0.000 0.916 0.965
4 Sc 0.000 0.584 0.535

---

Record 13
DFT (PBE) results for a relaxed LaSc2Mo crystal.

Results
* D(E_F): 4.1 states/eV/f.u.
* relative energy among the computed polymorphs: 0.181 eV/atom
* uncorrected energy: -6.77 eV per atom
* E_form: 334.5 meV per atom
* calculated volume: 92 Å³/cell

abc: 4.906 4.333 4.333
angles: 90.00 90.00 90.00
Atoms (fractional coordinates):
1 La 0.500 0.500 0.000
2 Mo 0.500 0.000 0.500
3 Sc 0.000 0.000 0.000
4 Sc 0.000 0.500 0.500

---

Record 14
DFT (PBE) results for a relaxed LaSc2Mo crystal.

Results
* D(E_F): 6.5 states/eV/f.u.
* relative energy among the computed polymorphs: 0.118 eV/atom
* uncorrected energy: -6.83 eV per atom
* E_form: 271.4 meV per atom
* calculated volume: 98 Å³/cell

abc: 10.222 10.222 10.222
angles: 18.88 18.88 18.88
Atoms (fractional coordinates):
1 La 0.250 0.250 0.250
2 Mo 0.750 0.750 0.750
3 Sc 0.018 0.018 0.018
4 Sc 0.482 0.482 0.482

---

Record 15
DFT (PBE) results for a relaxed LaSc2Mo crystal.

Results
* D(E_F): 4.8 states/eV/f.u.
* relative energy among the computed polymorphs: 0.121 eV/atom
* uncorrected energy: -6.83 eV per atom
* E_form: 275.0 meV per atom
* calculated volume: 94 Å³/cell

abc: 4.541 3.259 6.685
angles: 72.76 90.00 90.00
Atoms (fractional coordinates):
1 La 0.000 0.628 0.533
2 Mo 0.500 0.664 0.778
3 Sc 0.000 0.930 0.977
4 Sc 0.500 0.277 0.213

---

Record 16
DFT (PBE) results for a relaxed LaScMo2 crystal.

Results
* D(E_F): 4.4 states/eV/f.u.
* relative energy among the computed polymorphs: 0.513 eV/atom
* uncorrected energy: -7.60 eV per atom
* E_form: 629.4 meV per atom
* calculated volume: 82 Å³/cell

abc: 5.611 5.611 5.611
angles: 136.73 136.73 62.86
Atoms (fractional coordinates):
1 La 0.750 0.250 0.500
2 Mo 0.000 0.000 0.000
3 Mo 0.500 0.500 0.000
4 Sc 0.250 0.750 0.500

---

Record 17
DFT (PBE) results for a relaxed La4ScMo crystal.

Results
* D(E_F): 12.7 states/eV/f.u.
* uncorrected energy: -5.32 eV per atom
* E_form: 827.9 meV per atom
* calculated volume: 184 Å³/cell

abc: 6.385 6.385 6.385
angles: 60.00 60.00 60.00
Last column: magnetic moment on the atom in μB.
Atoms (fractional coordinates):
1 La 0.872 0.376 0.376  -0.10
2 La 0.376 0.376 0.872  -0.10
3 La 0.376 0.872 0.376  -0.10
4 La 0.376 0.376 0.376  -0.10
5 Sc 0.000 0.000 0.000  -0.27
6 Mo 0.750 0.750 0.750  2.30

---

Record 18
DFT (PBE) results for a relaxed LaScMo2 crystal.

Results
* D(E_F): 8.5 states/eV/f.u.
* relative energy among the computed polymorphs: 0.436 eV/atom
* uncorrected energy: -7.68 eV per atom
* E_form: 552.7 meV per atom
* calculated volume: 81 Å³/cell

abc: 4.855 4.855 4.855
angles: 60.00 60.00 60.00
Atoms (fractional coordinates):
1 Sc 0.000 0.000 0.000
2 Mo 0.250 0.250 0.250
3 Mo 0.750 0.750 0.750
4 La 0.500 0.500 0.500

---

Record 19
DFT (PBE) results for a relaxed LaSc2Mo crystal.

Results
* D(E_F): 6.4 states/eV/f.u.
* relative energy among the computed polymorphs: 0.146 eV/atom
* uncorrected energy: -6.81 eV per atom
* E_form: 300.0 meV per atom
* calculated volume: 91 Å³/cell

abc: 5.042 5.042 5.042
angles: 60.00 60.00 60.00
Atoms (fractional coordinates):
1 Sc 0.250 0.250 0.250
2 Sc 0.750 0.750 0.750
3 Mo 0.000 0.000 0.000
4 La 0.500 0.500 0.500

---

Record 20
DFT (PBE) results for a relaxed LaScMo2 crystal.

Results
* D(E_F): 4.6 states/eV/f.u.
* relative energy among the computed polymorphs: 0.000 eV/atom
* uncorrected energy: -8.11 eV per atom
* E_form: 116.9 meV per atom
* calculated volume: 88 Å³/cell

abc: 3.258 3.258 8.308
angles: 90.00 90.00 90.00
Atoms (fractional coordinates):
1 La 0.500 0.500 0.790
2 Mo 0.000 0.000 0.058
3 Mo 0.500 0.500 0.220
4 Sc 0.000 0.000 0.432

---

Record 21
DFT (PBE) results for a relaxed LaSc2Mo crystal.

Results
* D(E_F): 5.4 states/eV/f.u.
* relative energy among the computed polymorphs: 0.162 eV/atom
* uncorrected energy: -6.79 eV per atom
* E_form: 315.9 meV per atom
* calculated volume: 93 Å³/cell

abc: 5.147 5.147 6.194
angles: 86.32 86.32 34.63
Atoms (fractional coordinates):
1 La 0.250 0.250 0.250
2 Mo 0.750 0.750 0.750
3 Sc 0.010 0.010 0.958
4 Sc 0.490 0.490 0.542

---

Record 22
DFT (PBE) results for a relaxed LaScMo2 crystal.

Results
* D(E_F): 2.9 states/eV/f.u.
* relative energy among the computed polymorphs: 0.295 eV/atom
* uncorrected energy: -7.82 eV per atom
* E_form: 411.5 meV per atom
* calculated volume: 89 Å³/cell

abc: 4.693 2.946 6.469
angles: 92.40 90.00 90.00
Atoms (fractional coordinates):
1 La 0.500 0.750 0.750
2 Mo 0.000 0.821 0.071
3 Mo 0.000 0.679 0.429
4 Sc 0.500 0.250 0.250

---

Record 23
DFT (PBE) results for a relaxed LaSc2Mo crystal.

Results
* D(E_F): 4.8 states/eV/f.u.
* relative energy among the computed polymorphs: 0.182 eV/atom
* uncorrected energy: -6.77 eV per atom
* E_form: 336.2 meV per atom
* calculated volume: 96 Å³/cell

abc: 5.225 5.225 6.283
angles: 87.13 87.13 34.27
Atoms (fractional coordinates):
1 La 0.501 0.501 0.518
2 Mo 0.740 0.740 0.805
3 Sc 0.002 0.002 0.978
4 Sc 0.256 0.256 0.198

---

Record 24
DFT (PBE) results for a relaxed LaScMo2 crystal.

Results
* D(E_F): 7.5 states/eV/f.u.
* relative energy among the computed polymorphs: 0.337 eV/atom
* uncorrected energy: -7.78 eV per atom
* E_form: 453.5 meV per atom
* calculated volume: 80 Å³/cell

abc: 4.852 4.852 4.852
angles: 120.22 120.22 89.61
Atoms (fractional coordinates):
1 La 0.750 0.250 0.500
2 Mo 0.000 0.000 0.000
3 Mo 0.250 0.750 0.500
4 Sc 0.500 0.500 0.000

---

Record 25
DFT (PBE) results for a relaxed LaSc2Mo crystal.

Results
* D(E_F): 5.7 states/eV/f.u.
* relative energy among the computed polymorphs: 0.064 eV/atom
* uncorrected energy: -6.89 eV per atom
* E_form: 217.6 meV per atom
* calculated volume: 98 Å³/cell

abc: 3.663 3.662 7.334
angles: 90.00 90.00 90.00
Atoms (fractional coordinates):
1 La 0.000 0.000 0.538
2 Mo 0.500 0.500 0.803
3 Sc 0.000 0.000 0.965
4 Sc 0.500 0.500 0.195

---

Record 26
DFT (PBE) results for a relaxed LaScMo2 crystal.

Results
* D(E_F): 5.7 states/eV/f.u.
* relative energy among the computed polymorphs: 0.388 eV/atom
* uncorrected energy: -7.73 eV per atom
* E_form: 504.6 meV per atom
* calculated volume: 80 Å³/cell

abc: 2.969 2.969 9.647
angles: 90.00 90.00 109.20
Atoms (fractional coordinates):
1 La 0.500 0.500 0.750
2 Mo 0.000 0.000 0.015
3 Mo 0.000 0.000 0.485
4 Sc 0.500 0.500 0.250

---

Record 27
DFT (PBE) results for a relaxed LaScMo2 crystal.

Results
* D(E_F): 4.3 states/eV/f.u.
* relative energy among the computed polymorphs: 0.201 eV/atom
* uncorrected energy: -7.91 eV per atom
* E_form: 318.2 meV per atom
* calculated volume: 85 Å³/cell

abc: 3.036 3.036 10.095
angles: 90.00 90.00 113.59
Atoms (fractional coordinates):
1 La 0.500 0.500 0.781
2 Mo 0.000 0.000 0.038
3 Mo 0.500 0.500 0.229
4 Sc 0.000 0.000 0.452

---

Record 28
DFT (PBE) results for a relaxed LaScMo2 crystal.

Results
* D(E_F): 5.1 states/eV/f.u.
* relative energy among the computed polymorphs: 0.405 eV/atom
* uncorrected energy: -7.71 eV per atom
* E_form: 521.9 meV per atom
* calculated volume: 79 Å³/cell

abc: 5.542 5.542 5.542
angles: 144.02 126.84 65.88
Atoms (fractional coordinates):
1 La 0.250 0.750 0.500
2 Mo 0.008 0.008 0.000
3 Mo 0.492 0.492 0.000
4 Sc 0.750 0.250 0.500

---

Record 29
DFT (PBE) results for a relaxed LaSc2Mo crystal.

Results
* D(E_F): 6.7 states/eV/f.u.
* relative energy among the computed polymorphs: 0.000 eV/atom
* uncorrected energy: -6.95 eV per atom
* E_form: 153.7 meV per atom
* calculated volume: 98 Å³/cell

abc: 3.346 3.346 8.745
angles: 90.00 90.00 90.00
Atoms (fractional coordinates):
1 La 0.500 0.500 0.250
2 Mo 0.500 0.500 0.750
3 Sc 0.000 0.000 0.933
4 Sc 0.000 0.000 0.567

---

Record 30
DFT (PBE) results for a relaxed LaSc2Mo crystal.

Results
* D(E_F): 6.1 states/eV/f.u.
* relative energy among the computed polymorphs: 0.144 eV/atom
* uncorrected energy: -6.81 eV per atom
* E_form: 298.1 meV per atom
* calculated volume: 91 Å³/cell

abc: 5.305 5.305 5.305
angles: 127.65 127.65 77.19
Atoms (fractional coordinates):
1 La 0.250 0.750 0.500
2 Mo 0.750 0.250 0.500
3 Sc 0.000 0.000 0.000
4 Sc 0.500 0.500 0.000